# KVBi2 | Alexandria via LeMat-Bulk | PBE-GGA | relaxed
data_KVBi2
_chemical_formula_sum 'K4 V4 Bi8'
_cell_length_a 6.5379
_cell_length_b 6.5379
_cell_length_c 16.4705
_cell_angle_alpha 90.00
_cell_angle_beta 90.00
_cell_angle_gamma 90.00
_symmetry_space_group_name_H-M 'I -4 2 d'
_symmetry_Int_Tables_number 122
_symmetry_space_group_name_Hall 'I -4 2bw'
loop_
_atom_site_label
_atom_site_fract_x
_atom_site_fract_y
_atom_site_fract_z
K1 0.0000 0.0000 0.0000
V1 0.0000 0.0000 0.5000
Bi1 0.0503 0.2500 0.6250
# V = 44.0 Å³ per atom
# spin magnetization = 1.66 μB/f.u.
# E above lowest polymorph = 187 meV per atom
# calculated formation energy = 0.2229 eV per atom
# DOS(E_F) = 1.7 states/eV/f.u.

=====

# BeTlCr2 | Alexandria via LeMat-Bulk | PBE-GGA | relaxed
data_BeTlCr2
_chemical_formula_sum 'Be1 Tl1 Cr2'
_cell_length_a 3.0239
_cell_length_b 3.0239
_cell_length_c 6.3741
_cell_angle_alpha 90.00
_cell_angle_beta 90.00
_cell_angle_gamma 90.00
_symmetry_space_group_name_H-M 'P 4 m m'
_symmetry_Int_Tables_number 99
loop_
_symmetry_equiv_pos_as_xyz
'x,y,z'
'-y,x,z'
'-x,-y,z'
'y,-x,z'
'-x,y,z'
'y,x,z'
'x,-y,z'
'-y,-x,z'
loop_
_atom_site_label
_atom_site_fract_x
_atom_site_fract_y
_atom_site_fract_z
Be1 0.0000 0.0000 0.0000
Tl1 0.5000 0.5000 0.6993
Cr1 0.0000 0.0000 0.3683
Cr2 0.5000 0.5000 0.1789
# V = 14.6 Å³ per atom
# spin magnetization = 0.65 μB/f.u.
# E above lowest polymorph = 0 meV per atom
# calculated formation energy = 0.4232 eV per atom
# DOS(E_F) = 2.2 states/eV/f.u.

=====

# PmPuCCl | Alexandria via LeMat-Bulk | PBE-GGA | relaxed
data_PmPuCCl
_chemical_formula_sum 'Pm3 Pu3 C3 Cl3'
_cell_length_a 3.6360
_cell_length_b 3.6360
_cell_length_c 21.7709
_cell_angle_alpha 90.00
_cell_angle_beta 90.00
_cell_angle_gamma 120.00
_symmetry_space_group_name_H-M 'R 3 m'
_symmetry_Int_Tables_number 160
_symmetry_space_group_name_Hall 'R 3 -2"'
loop_
_atom_site_label
_atom_site_fract_x
_atom_site_fract_y
_atom_site_fract_z
Pm1 0.0000 0.0000 0.0000
Pu1 0.0000 0.0000 0.2060
C1 0.0000 0.0000 0.5998
Cl1 0.0000 0.0000 0.7680
# energy relative to the elements, uncorrected = -3.4 eV per formula unit
# V = 20.8 Å³ per atom
# spin magnetization = 5.51 μB/f.u.
# DOS(E_F) = 7.0 states/eV/f.u.

=====

# CsIn2Ni | Alexandria via LeMat-Bulk | PBE-GGA | relaxed
data_CsIn2Ni
_chemical_formula_sum 'Cs4 In8 Ni4'
_cell_length_a 7.0824
_cell_length_b 7.0824
_cell_length_c 13.2576
_cell_angle_alpha 90.00
_cell_angle_beta 90.00
_cell_angle_gamma 90.00
_symmetry_space_group_name_H-M 'I 41/a m d'
_symmetry_Int_Tables_number 141
loop_
_symmetry_equiv_pos_as_xyz
'x,y,z'
'-x,-y,-z'
'-y+1/4,x+3/4,z+1/4'
'y+1/4,-x+3/4,-z+1/4'
'-x+1/2,-y,z+1/2'
'x+1/2,y,-z+1/2'
'y+1/4,-x+1/4,z+3/4'
'-y+1/4,x+1/4,-z+3/4'
'x,-y,-z'
'-x,y,z'
'-y+1/4,-x+1/4,-z+3/4'
'y+1/4,x+1/4,z+3/4'
'-x+1/2,y,-z+1/2'
'x+1/2,-y,z+1/2'
'y+1/4,x+3/4,-z+1/4'
'-y+1/4,-x+3/4,z+1/4'
'x+1/2,y+1/2,z+1/2'
'-x+1/2,-y+1/2,-z+1/2'
'-y+3/4,x+1/4,z+3/4'
'y+3/4,-x+1/4,-z+3/4'
'-x,-y+1/2,z'
'x,y+1/2,-z'
'y+3/4,-x+3/4,z+1/4'
'-y+3/4,x+3/4,-z+1/4'
'x+1/2,-y+1/2,-z+1/2'
'-x+1/2,y+1/2,z+1/2'
'-y+3/4,-x+3/4,-z+1/4'
'y+3/4,x+3/4,z+1/4'
'-x,y+1/2,-z'
'x,-y+1/2,z'
'y+3/4,x+1/4,-z+3/4'
'-y+3/4,-x+1/4,z+3/4'
loop_
_atom_site_label
_atom_site_fract_x
_atom_site_fract_y
_atom_site_fract_z
Cs1 0.0000 0.2500 0.3750
In1 0.0000 0.0000 0.0000
Ni1 0.0000 0.2500 0.8750
# V = 41.6 Å³ per atom
# spin magnetization = 0.00 μB/f.u.
# E above lowest polymorph = 71 meV per atom
# calculated formation energy = 0.0689 eV per atom
# DOS(E_F) = 2.9 states/eV/f.u.